Record 1
# TcAuBr

A relaxed structure of TcAuBr (PBE-GGA, Alexandria via LeMat-Bulk).

a = 4.614 Å, b = 4.614 Å, c = 2.927 Å
α = 90.00°, β = 90.00°, γ = 120.00°
Atoms (fractional coordinates):
Tc 0.000 0.000 0.000
Au 0.667 0.333 0.500
Br 0.333 0.667 0.000

Computed properties:
ΔE to the lowest computed polymorph = 419 meV per atom
Energy relative to the elements, uncorrected = 0.9050 eV per atom

Record 2
# ScCoSb2

A relaxed structure of ScCoSb2 (PBE-GGA, Alexandria via LeMat-Bulk).

a = 3.158 Å, b = 3.158 Å, c = 8.693 Å
α = 90.00°, β = 90.00°, γ = 90.00°
Atoms (fractional coordinates):
Sc 0.000 0.000 0.000
Co 0.500 0.500 0.192
Sb 0.000 0.000 0.364
Sb 0.500 0.500 0.743

Computed properties:
Energy relative to the elements, uncorrected = -0.2518 eV per atom

| no. | total magnetic moment (μB/atom) |
| --- | --- |
| 1 | 0.00 |
| 2 | 0.16 |